No. 1
Below is an optimized crystal structure of YInSb2, with properties calculated at the PBE-GGA level.

Values from the calculation:
Formation energy without anion corrections: -173 meV per atom
V: 111.2 Å³/f.u.

Unit cell a=7.634 b=7.634 c=7.634 alpha=90.00 beta=90.00 gamma=90.00
Space group F-43m (No. 216)
Inequivalent atoms, fractional coordinates:
Y 0.000 0.000 0.000 (multiplicity 4)
In 0.250 0.250 0.750 (multiplicity 4)
Sb 0.000 0.000 0.500 (multiplicity 4)
Sb 0.250 0.250 0.250 (multiplicity 4)



No. 2
Below is an optimized crystal structure of SrNiTe2, with properties calculated at the PBE-GGA level.

Values from the calculation:
Formation energy without anion corrections: -232 meV per atom
V: 107.2 Å³/f.u.

Unit cell a=7.542 b=7.542 c=7.542 alpha=90.00 beta=90.00 gamma=90.00
Space group Fm-3m (No. 225)
Inequivalent atoms, fractional coordinates:
Sr 0.000 0.000 0.000 (multiplicity 4)
Ni 0.000 0.000 0.500 (multiplicity 4)
Te 0.250 0.250 0.250 (multiplicity 8)



No. 3
Below is an optimized crystal structure of LaTb3Sc4, with properties calculated at the PBE-GGA level.

Values from the calculation:
Energy relative to the elements: 49 meV/atom
V: 230.7 Å³/f.u.

Unit cell a=10.913 b=7.047 c=5.999 alpha=90.00 beta=90.00 gamma=90.00
Space group Pmn2_1 (No. 31)
Inequivalent atoms, fractional coordinates:
La 0.000 0.134 0.000 (multiplicity 2)
Tb 0.000 0.863 0.505 (multiplicity 2)
Tb 0.249 0.138 0.354 (multiplicity 4)
Sc 0.000 0.390 0.513 (multiplicity 2)
Sc 0.000 0.613 0.015 (multiplicity 2)
Sc 0.247 0.613 0.343 (multiplicity 4)



No. 4
Below is an optimized crystal structure of FeRh2Br, with properties calculated at the PBE-GGA level.

Values from the calculation:
Formation energy without anion corrections: 524 meV per atom
V: 61.3 Å³/f.u.

Unit cell a=3.001 b=4.446 c=9.183 alpha=90.00 beta=90.00 gamma=90.00
Space group Imm2 (No. 44)
Inequivalent atoms, fractional coordinates:
Fe 0.000 0.000 0.000 (multiplicity 2)
Rh 0.000 0.000 0.522 (multiplicity 2)
Rh 0.000 0.500 0.746 (multiplicity 2)
Br 0.000 0.500 0.262 (multiplicity 2)



No. 5
Below is an optimized crystal structure of KPuF4, with properties calculated at the PBE-GGA level.

Values from the calculation:
Formation energy without anion corrections: -3365 meV per atom
V: 94.6 Å³/f.u.

Unit cell a=6.326 b=3.803 c=15.727 alpha=90.00 beta=90.00 gamma=90.00
Space group Pnma (No. 62)
Inequivalent atoms, fractional coordinates:
K 0.222 0.250 0.201 (multiplicity 4)
Pu 0.248 0.750 0.439 (multiplicity 4)
F 0.003 0.250 0.058 (multiplicity 4)
F 0.092 0.250 0.806 (multiplicity 4)
F 0.105 0.250 0.366 (multiplicity 4)
F 0.135 0.250 0.538 (multiplicity 4)



No. 6
Below is an optimized crystal structure of Mg6FeC, with properties calculated at the PBE-GGA level.

Values from the calculation:
Energy relative to the elements: 434 meV/atom
V: 144.2 Å³/f.u.

Unit cell a=3.790 b=8.222 c=9.255 alpha=90.00 beta=90.00 gamma=90.00
Space group Amm2 (No. 38)
Inequivalent atoms, fractional coordinates:
Mg 0.000 0.000 0.000 (multiplicity 2)
Mg 0.000 0.000 0.402 (multiplicity 2)
Mg 0.000 0.181 0.717 (multiplicity 4)
Mg 0.500 0.250 0.459 (multiplicity 4)
Fe 0.500 0.000 0.206 (multiplicity 2)
C 0.500 0.000 0.854 (multiplicity 2)



No. 7
Below is an optimized crystal structure of TeAuIO2, with properties calculated at the PBE-GGA level.

Values from the calculation:
Formation energy without anion corrections: -206 meV per atom
V: 118.7 Å³/f.u.

Unit cell a=4.059 b=4.059 c=7.205 alpha=90.00 beta=90.00 gamma=90.00
Space group P4/mmm (No. 123)
Inequivalent atoms, fractional coordinates:
Te 0.000 0.000 0.000 (multiplicity 1)
Au 0.500 0.500 0.500 (multiplicity 1)
I 0.000 0.000 0.500 (multiplicity 1)
O 0.000 0.500 0.000 (multiplicity 2)



No. 8
Below is an optimized crystal structure of LiFeGeOs, with properties calculated at the PBE-GGA level.

Values from the calculation:
Energy relative to the elements: -103 meV/atom
V: 52.3 Å³/f.u.

Unit cell a=5.937 b=5.937 c=5.937 alpha=90.00 beta=90.00 gamma=90.00
Space group F-43m (No. 216)
Inequivalent atoms, fractional coordinates:
Li 0.000 0.000 0.000 (multiplicity 4)
Fe 0.250 0.250 0.750 (multiplicity 4)
Ge 0.250 0.250 0.250 (multiplicity 4)
Os 0.000 0.000 0.500 (multiplicity 4)



No. 9
Below is an optimized crystal structure of ScZnCuSn, with properties calculated at the PBE-GGA level.

Values from the calculation:
Energy relative to the elements: -209 meV/atom
V: 71.8 Å³/f.u.

Unit cell a=6.598 b=6.598 c=6.598 alpha=90.00 beta=90.00 gamma=90.00
Space group F-43m (No. 216)
Inequivalent atoms, fractional coordinates:
Sc 0.000 0.000 0.000 (multiplicity 4)
Zn 0.250 0.250 0.750 (multiplicity 4)
Cu 0.250 0.250 0.250 (multiplicity 4)
Sn 0.000 0.000 0.500 (multiplicity 4)



No. 10
Below is an optimized crystal structure of NaSn3Pd5, with properties calculated at the PBE-GGA level.

Values from the calculation:
Energy relative to the elements: -451 meV/atom
V: 161.3 Å³/f.u.

Unit cell a=8.0658 b=8.0658 c=5.7254 alpha=90.00 beta=90.00 gamma=120.00
Space group P6_3/mcm (No. 193)
Inequivalent atoms, fractional coordinates:
Na 0.0000 0.0000 0.0000 (multiplicity 2)
Sn 0.0000 0.3557 0.2500 (multiplicity 6)
Pd 0.0000 0.3180 0.7500 (multiplicity 6)
Pd 0.3333 0.6667 0.0000 (multiplicity 4)



No. 11
Below is an optimized crystal structure of La2IBr, with properties calculated at the PBE-GGA level.

Values from the calculation:
Formation energy without anion corrections: -993 meV per atom
V: 117.0 Å³/f.u.

Unit cell a=7.764 b=7.764 c=7.764 alpha=90.00 beta=90.00 gamma=90.00
Space group Fm-3m (No. 225)
Inequivalent atoms, fractional coordinates:
La 0.250 0.250 0.250 (multiplicity 8)
I 0.000 0.000 0.000 (multiplicity 4)
Br 0.000 0.000 0.500 (multiplicity 4)



No. 12
Below is an optimized crystal structure of Zr2SbBr, with properties calculated at the PBE-GGA level.

Values from the calculation:
Formation energy without anion corrections: -485 meV per atom
V: 107.2 Å³/f.u.

Unit cell a=3.246 b=3.246 c=10.173 alpha=90.00 beta=90.00 gamma=90.00
Space group P4mm (No. 99)
Inequivalent atoms, fractional coordinates:
Zr 0.000 0.000 0.000 (multiplicity 1)
Zr 0.500 0.500 0.228 (multiplicity 1)
Sb 0.500 0.500 0.780 (multiplicity 1)
Br 0.000 0.000 0.400 (multiplicity 1)



Repeat the fifth record exactly.
Below is an optimized crystal structure of KPuF4, with properties calculated at the PBE-GGA level.

Values from the calculation:
Formation energy without anion corrections: -3365 meV per atom
V: 94.6 Å³/f.u.

Unit cell a=6.326 b=3.803 c=15.727 alpha=90.00 beta=90.00 gamma=90.00
Space group Pnma (No. 62)
Inequivalent atoms, fractional coordinates:
K 0.222 0.250 0.201 (multiplicity 4)
Pu 0.248 0.750 0.439 (multiplicity 4)
F 0.003 0.250 0.058 (multiplicity 4)
F 0.092 0.250 0.806 (multiplicity 4)
F 0.105 0.250 0.366 (multiplicity 4)
F 0.135 0.250 0.538 (multiplicity 4)



Which of these has the highest V? LaTb3Sc4



Look up the V of the fifth one. 94.6 Å³/f.u.